No. 1
A plane-wave DFT calculation with PBE-GGA was carried out for a geometry-optimized TaReAg structure.

Energy above the lowest structure with this stoichiometry   743 meV per atom
DFT formation energy   1029 meV per atom
Size of the total moment   0.13 μB/f.u.

Cell: 6.235 6.235 6.235 Å, 90.00 90.00 90.00°
Space group F-43m (No. 216)
One atom of each set of equivalent atoms:
Ta  0.000  0.000  0.000 (multiplicity 4)
Re  0.250  0.250  0.750 (multiplicity 4)
Ag  0.000  0.000  0.500 (multiplicity 4)

No. 2
A plane-wave DFT calculation with PBE-GGA was carried out for a geometry-optimized TcRhS2 structure.

Energy above the lowest structure with this stoichiometry   0 meV per atom
ΔE_f (raw)   -0.228 eV per atom
Size of the total moment   0.00 μB/f.u.

Cell: 5.282 5.282 10.427 Å, 90.00 90.00 90.00°
Space group I-42d (No. 122)
One atom of each set of equivalent atoms:
Tc  0.000  0.000  0.000 (multiplicity 4)
Rh  0.000  0.000  0.500 (multiplicity 4)
S  0.243  0.250  0.125 (multiplicity 8)

No. 3
A plane-wave DFT calculation with PBE-GGA was carried out for a geometry-optimized SiCSeBr2 structure.

Energy above the lowest structure with this stoichiometry   253 meV per atom
ΔE_f (raw)   1.480 eV per atom
Size of the total moment   0.88 μB/f.u.

Cell: 4.985 4.985 5.074 Å, 90.00 90.00 90.00°
Space group P4/mmm (No. 123)
One atom of each set of equivalent atoms:
Si  0.000  0.000  0.000 (multiplicity 1)
C  0.500  0.500  0.500 (multiplicity 1)
Se  0.000  0.000  0.500 (multiplicity 1)
Br  0.000  0.500  0.000 (multiplicity 2)

No. 4
A plane-wave DFT calculation with PBE-GGA was carried out for a geometry-optimized NaAc2Hg4 structure.

Energy above the lowest structure with this stoichiometry   153 meV per atom
DFT formation energy   -145 meV per atom
Size of the total moment   0.00 μB/f.u.

Cell: 5.370 5.370 16.614 Å, 90.00 90.00 90.00°
Space group I4/mmm (No. 139)
One atom of each set of equivalent atoms:
Na  0.000  0.000  0.000 (multiplicity 2)
Ac  0.000  0.000  0.375 (multiplicity 4)
Hg  0.000  0.000  0.178 (multiplicity 4)
Hg  0.000  0.500  0.000 (multiplicity 4)

No. 5
A plane-wave DFT calculation with PBE-GGA was carried out for a geometry-optimized Pm6YGe4 structure.

DFT formation energy   -570 meV per atom
Size of the total moment   0.62 μB/f.u.

Cell: 9.3146 9.3146 4.0794 Å, 90.00 90.00 120.00°
Space group P-6m2 (No. 187)
One atom of each set of equivalent atoms:
Pm  0.1956  0.3912  0.0000 (multiplicity 3)
Pm  0.5416  0.0831  0.5000 (multiplicity 3)
Y  0.0000  0.0000  0.5000 (multiplicity 1)
Ge  0.3246  0.1623  0.0000 (multiplicity 3)
Ge  0.3333  0.6667  0.5000 (multiplicity 1)

No. 6
A plane-wave DFT calculation with PBE-GGA was carried out for a geometry-optimized ZrCrAg2 structure.

Energy above the lowest structure with this stoichiometry   0 meV per atom
DFT formation energy   187 meV per atom
Size of the total moment   2.65 μB/f.u.

Cell: 3.348 3.408 6.401 Å, 90.00 90.00 90.00°
Space group Pmm2 (No. 25)
One atom of each set of equivalent atoms:
Zr  0.000  0.000  0.000 (multiplicity 1)
Cr  0.500  0.500  0.755 (multiplicity 1)
Ag  0.000  0.000  0.520 (multiplicity 1)
Ag  0.500  0.500  0.276 (multiplicity 1)

No. 7
A plane-wave DFT calculation with PBE-GGA was carried out for a geometry-optimized FeMoCl2 structure.

Energy above the lowest structure with this stoichiometry   755 meV per atom
ΔE_f (raw)   0.547 eV per atom
Size of the total moment   4.34 μB/f.u.

Cell: 2.871 4.163 5.658 Å, 90.00 90.00 90.00°
Space group Pmmm (No. 47)
One atom of each set of equivalent atoms:
Fe  0.000  0.000  0.000 (multiplicity 1)
Mo  0.500  0.000  0.500 (multiplicity 1)
Cl  0.000  0.500  0.500 (multiplicity 1)
Cl  0.500  0.500  0.000 (multiplicity 1)

No. 8
A plane-wave DFT calculation with PBE-GGA was carried out for a geometry-optimized LiFeS2 structure.

ΔE_f (raw)   -0.617 eV per atom
Size of the total moment   0.00 μB/f.u.

Cell: 5.453 5.453 9.782 Å, 90.00 90.00 90.00°
Space group I-42d (No. 122)
One atom of each set of equivalent atoms:
Li  0.000  0.000  0.000 (multiplicity 4)
Fe  0.000  0.000  0.500 (multiplicity 4)
S  0.195  0.250  0.625 (multiplicity 8)

No. 9
A plane-wave DFT calculation with PBE-GGA was carried out for a geometry-optimized Mg2TaZn structure.

DFT formation energy   188 meV per atom
Size of the total moment   0.06 μB/f.u.

Cell: 5.777 9.830 2.760 Å, 90.00 111.24 90.00°
Space group C2/m (No. 12)
One atom of each set of equivalent atoms:
Mg  0.250  0.250  0.000 (multiplicity 4)
Ta  0.000  0.000  0.500 (multiplicity 2)
Zn  0.000  0.500  0.500 (multiplicity 2)

No. 10
A plane-wave DFT calculation with PBE-GGA was carried out for a geometry-optimized PuPt2 structure.

DFT formation energy   -854 meV per atom
Size of the total moment   5.28 μB/f.u.

Cell: 7.712 7.712 7.712 Å, 90.00 90.00 90.00°
Space group Fd-3m (No. 227, origin choice 2)
One atom of each set of equivalent atoms:
Pu  0.125  0.125  0.125 (multiplicity 8)
Pt  0.000  0.000  0.500 (multiplicity 16)

No. 11
A plane-wave DFT calculation with PBE-GGA was carried out for a geometry-optimized AcScHg structure.

Energy above the lowest structure with this stoichiometry   110 meV per atom
DFT formation energy   -199 meV per atom
Size of the total moment   0.04 μB/f.u.

Cell: 5.0877 5.0877 4.1101 Å, 90.00 90.00 120.00°
Space group P-6m2 (No. 187)
One atom of each set of equivalent atoms:
Ac  0.0000  0.0000  0.0000 (multiplicity 1)
Sc  0.3333  0.6667  0.5000 (multiplicity 1)
Hg  0.6667  0.3333  0.5000 (multiplicity 1)

No. 12
A plane-wave DFT calculation with PBE-GGA was carried out for a geometry-optimized Ho2MgOs structure.

DFT formation energy   -218 meV per atom
Size of the total moment   0.00 μB/f.u.

Cell: 3.421 3.421 8.146 Å, 90.00 90.00 90.00°
Space group P4/mmm (No. 123)
One atom of each set of equivalent atoms:
Ho  0.000  0.000  0.202 (multiplicity 2)
Mg  0.500  0.500  0.500 (multiplicity 1)
Os  0.500  0.500  0.000 (multiplicity 1)